Entry from Alexandria: ZrTa2NbIr at its PBEsol-relaxed geometry (SCAN).

```
ZrTa2NbIr
1.0
4.794 0.000 0.000
0.000 4.794 0.000
0.000 0.000 4.889
Zr Ta Nb Ir
1 2 1 1
direct
0.000 0.000 0.000
0.000 0.500 0.500
0.500 0.000 0.500
0.500 0.500 0.000
0.000 0.000 0.500
```

Summary:
- calculated volume (Å³/cell) = 112.3
- energy of formation from the pure elements (eV per atom) = 0.8108
- magnetization (μB/f.u.) = 1.8
- space-group type = P4/mmm (123)

***

Entry from Alexandria: Cr2ReRu at its PBEsol-relaxed geometry (SCAN).

```
Cr2ReRu
1.0
4.166 0.000 0.000
0.000 4.166 0.000
0.000 0.000 2.943
Cr Re Ru
2 1 1
direct
0.000 0.500 0.000
0.500 0.000 0.000
0.000 0.000 0.500
0.500 0.500 0.500
```

Summary:
- calculated volume (Å³/cell) = 51.1
- energy of formation from the pure elements (eV per atom) = 0.0354
- magnetization (μB/f.u.) = 2.8
- space-group type = P4/mmm (123)

***

Entry from Alexandria: BaCaMg4 at its PBEsol-relaxed geometry (SCAN).

```
BaCaMg4
1.0
0.000 4.485 4.485
4.485 0.000 4.485
4.485 4.485 0.000
Ba Ca Mg
1 1 4
direct
0.000 0.000 0.000
0.250 0.250 0.250
0.126 0.625 0.625
0.625 0.126 0.625
0.625 0.625 0.126
0.625 0.625 0.625
```

Summary:
- calculated volume (Å³/cell) = 180.4
- energy of formation from the pure elements (eV per atom) = -0.0833
- magnetization (μB/f.u.) = 0.0
- space-group type = F-43m (216)

***

Entry from Alexandria: TaTcH3 at its PBEsol-relaxed geometry (SCAN).

```
TaTcH3
1.0
3.430 0.000 0.000
0.000 3.430 0.000
0.000 0.000 3.430
Ta Tc H
1 1 3
direct
0.000 0.000 0.000
0.500 0.500 0.500
0.000 0.500 0.500
0.500 0.000 0.500
0.500 0.500 0.000
```

Summary:
- calculated volume (Å³/cell) = 40.4
- magnetization (μB/f.u.) = 0.0
- space-group type = Pm-3m (221)
- offset from the most stable computed form (meV/atom) = 0

***

Entry from Alexandria: Ca2ZnSe at its PBEsol-relaxed geometry (SCAN).

```
Ca2ZnSe
1.0
-1.877 2.010 7.159
1.877 -2.010 7.159
1.877 2.010 -7.159
Ca Zn Se
2 1 1
direct
0.000 0.000 0.000
0.735 0.235 0.500
0.406 0.406 0.000
0.161 0.661 0.500
```

Summary:
- calculated volume (Å³/cell) = 108.0
- magnetization (μB/f.u.) = 0.0
- raw formation energy (eV per atom) = -0.953
- space-group type = Imm2 (44)
- offset from the most stable computed form (meV/atom) = 93

***

Entry from Alexandria: ReSe3Cl at its PBEsol-relaxed geometry (SCAN).

```
ReSe3Cl
1.0
4.809 0.000 0.000
0.000 4.809 0.000
0.000 0.000 4.809
Re Se Cl
1 3 1
direct
0.000 0.000 0.000
0.000 0.000 0.500
0.000 0.500 0.000
0.500 0.000 0.000
0.500 0.500 0.500
```

Summary:
- calculated volume (Å³/cell) = 111.2
- magnetization (μB/f.u.) = 0.0
- raw formation energy (eV per atom) = 0.410
- space-group type = Pm-3m (221)